Entry from the Alexandria database: crystalline ScBe13 at its relaxed geometry (PBE).

Lattice parameters (Å, degrees): 7.093 7.093 7.093 60.00 60.00 60.00
Fractional positions:
Sc (0.750, 0.750, 0.750)
Sc (0.250, 0.250, 0.250)
Be (0.500, 0.500, 0.500)
Be (0.000, 0.000, 0.000)
Be (0.437, 0.563, 0.208)
Be (0.208, 0.792, 0.437)
Be (0.792, 0.208, 0.563)
Be (0.563, 0.437, 0.792)
Be (0.563, 0.792, 0.208)
Be (0.792, 0.563, 0.437)
Be (0.208, 0.437, 0.563)
Be (0.437, 0.208, 0.792)
Be (0.792, 0.437, 0.208)
Be (0.563, 0.208, 0.437)
Be (0.437, 0.792, 0.563)
Be (0.208, 0.563, 0.792)
Be (0.292, 0.937, 0.063)
Be (0.063, 0.708, 0.292)
Be (0.937, 0.292, 0.708)
Be (0.708, 0.063, 0.937)
Be (0.292, 0.708, 0.937)
Be (0.063, 0.937, 0.708)
Be (0.937, 0.063, 0.292)
Be (0.708, 0.292, 0.063)
Be (0.292, 0.063, 0.708)
Be (0.063, 0.292, 0.937)
Be (0.937, 0.708, 0.063)
Be (0.708, 0.937, 0.292)

DOS(E_F)	0.26	states/eV per atom
space-group type	Fm-3c (226)
total DFT energy (no corrections)	-4.090	eV/atom
energy of formation from the pure elements	-178	meV per atom
M_tot	0.00	μB per formula unit



Entry from the Alexandria database: crystalline ZrMoCl at its relaxed geometry (PBE).

Lattice parameters (Å, degrees): 4.521 4.521 4.521 60.00 60.00 60.00
Fractional positions:
Cl (0.000, 0.000, 0.000)
Mo (0.500, 0.500, 0.500)
Zr (0.750, 0.750, 0.750)

DOS(E_F)	1.00	states/eV per atom
raw formation energy	1.07	eV/atom
space-group type	F-43m (216)
total DFT energy (no corrections)	-6.003	eV/atom
energy above the most stable polymorph in this dataset	1103	meV/atom
M_tot	0.00	μB per formula unit